No. 1
Below is Ho3TlAu after structural relaxation, with properties calculated at the GGA-PBE level.

abc: 8.071 8.071 11.092
angles: 92.80 92.80 49.88
Positions (direct):
Ho 0.151 0.741 0.919
Ho 0.153 0.217 0.330
Ho 0.217 0.153 0.830
Ho 0.259 0.849 0.581
Ho 0.347 0.420 0.168
Ho 0.420 0.347 0.668
Ho 0.580 0.653 0.332
Ho 0.653 0.580 0.832
Ho 0.741 0.151 0.419
Ho 0.783 0.847 0.170
Ho 0.847 0.783 0.670
Ho 0.849 0.259 0.081
Tl 0.137 0.600 0.425
Tl 0.400 0.863 0.075
Tl 0.600 0.137 0.925
Tl 0.863 0.400 0.575
Au 0.000 0.500 0.000
Au 0.103 0.897 0.250
Au 0.500 0.000 0.500
Au 0.897 0.103 0.750

Values from the calculation:
- Crystal system: monoclinic
- Spin magnetization: 0.000 Bohr magnetons per cell
- E_tot: -84.91 eV for the cell shown

=====

No. 2
Below is Ho5Tl2Au2 after structural relaxation, with properties calculated at the GGA-PBE level.

abc: 8.886 8.886 7.281
angles: 90.00 90.00 58.08
Positions (direct):
Ho 0.000 0.000 0.000
Ho 0.054 0.690 0.654
Ho 0.190 0.554 0.154
Ho 0.310 0.946 0.654
Ho 0.446 0.810 0.154
Ho 0.500 0.500 0.500
Ho 0.554 0.190 0.846
Ho 0.690 0.054 0.346
Ho 0.810 0.446 0.846
Ho 0.946 0.310 0.346
Tl 0.211 0.211 0.000
Tl 0.289 0.289 0.500
Tl 0.711 0.711 0.500
Tl 0.789 0.789 0.000
Au 0.130 0.870 0.367
Au 0.370 0.630 0.867
Au 0.630 0.370 0.133
Au 0.870 0.130 0.633

Values from the calculation:
- Crystal system: orthorhombic
- Spin magnetization: 0.000 Bohr magnetons per cell
- E_tot: -77.72 eV for the cell shown

=====

No. 3
Below is Ho4TlAu2 after structural relaxation, with properties calculated at the GGA-PBE level.

abc: 10.178 10.178 10.178
angles: 27.51 27.51 27.51
Positions (direct):
Ho 0.117 0.117 0.117
Ho 0.298 0.298 0.298
Ho 0.702 0.702 0.702
Ho 0.883 0.883 0.883
Tl 0.500 0.500 0.500
Au 0.397 0.397 0.397
Au 0.603 0.603 0.603

Values from the calculation:
- Crystal system: trigonal
- Spin magnetization: 0.000 Bohr magnetons per cell
- E_tot: -30.19 eV for the cell shown

=====

No. 4
Below is Ho4Tl2Au after structural relaxation, with properties calculated at the GGA-PBE level.

abc: 9.022 9.022 9.022
angles: 33.49 33.49 33.49
Positions (direct):
Ho 0.122 0.122 0.122
Ho 0.373 0.373 0.373
Ho 0.627 0.627 0.627
Ho 0.878 0.878 0.878
Tl 0.244 0.244 0.244
Tl 0.756 0.756 0.756
Au 0.000 0.000 0.000

Values from the calculation:
- Crystal system: trigonal
- Spin magnetization: 0.000 Bohr magnetons per cell
- E_tot: -28.76 eV for the cell shown

=====

No. 5
Below is Ho3TlAu2 after structural relaxation, with properties calculated at the GGA-PBE level.

abc: 3.590 3.590 11.360
angles: 90.00 90.00 90.00
Positions (direct):
Ho 0.000 0.000 0.000
Ho 0.000 0.000 0.314
Ho 0.000 0.000 0.686
Tl 0.500 0.500 0.500
Au 0.500 0.500 0.162
Au 0.500 0.500 0.838

Values from the calculation:
- Crystal system: tetragonal
- Spin magnetization: 0.000 Bohr magnetons per cell
- E_tot: -26.83 eV for the cell shown

=====

No. 6
Below is Ho2TlAu after structural relaxation, with properties calculated at the GGA-PBE level.

abc: 8.710 8.710 8.710
angles: 26.08 26.08 26.08
Positions (direct):
Ho 0.000 0.000 0.000
Ho 0.189 0.189 0.189
Tl 0.761 0.761 0.761
Au 0.595 0.595 0.595

Values from the calculation:
- Crystal system: trigonal
- Spin magnetization: 0.000 Bohr magnetons per cell
- E_tot: -16.58 eV for the cell shown

=====

No. 7
Below is Ho2TlAu after structural relaxation, with properties calculated at the GGA-PBE level.

abc: 8.866 8.866 8.866
angles: 25.16 25.16 25.16
Positions (direct):
Ho 0.240 0.240 0.240
Ho 0.760 0.760 0.760
Tl 0.000 0.000 0.000
Au 0.500 0.500 0.500

Values from the calculation:
- Crystal system: trigonal
- Spin magnetization: 0.000 Bohr magnetons per cell
- E_tot: -16.70 eV for the cell shown

=====

No. 8
Below is HoTmTlAu after structural relaxation, with properties calculated at the GGA-PBE level.

abc: 5.196 5.196 5.196
angles: 60.00 60.00 60.00
Positions (direct):
Ho 0.000 0.000 0.000
Tm 0.500 0.500 0.500
Tl 0.750 0.750 0.750
Au 0.250 0.250 0.250

Values from the calculation:
- Crystal system: cubic
- Spin magnetization: 0.000 Bohr magnetons per cell
- E above lowest polymorph: 42.1 meV per atom
- E_tot: -16.95 eV for the cell shown

=====

No. 9
Below is HoTmTlAu after structural relaxation, with properties calculated at the GGA-PBE level.

abc: 3.596 3.596 7.642
angles: 90.00 90.00 90.00
Positions (direct):
Ho 0.000 0.000 0.000
Tm 0.000 0.000 0.458
Tl 0.500 0.500 0.728
Au 0.500 0.500 0.238

Values from the calculation:
- Crystal system: tetragonal
- Spin magnetization: 0.000 Bohr magnetons per cell
- E above lowest polymorph: 0.0 meV per atom
- E_tot: -17.12 eV for the cell shown

=====

No. 10
Below is YHoTlAu after structural relaxation, with properties calculated at the GGA-PBE level.

abc: 5.233 5.233 5.233
angles: 60.00 60.00 60.00
Positions (direct):
Y 0.000 0.000 0.000
Ho 0.500 0.500 0.500
Tl 0.750 0.750 0.750
Au 0.250 0.250 0.250

Values from the calculation:
- Crystal system: cubic
- Spin magnetization: 0.000 Bohr magnetons per cell
- E above lowest polymorph: 39.7 meV per atom
- E_tot: -18.99 eV for the cell shown

=====

No. 11
Below is YHoTlAu after structural relaxation, with properties calculated at the GGA-PBE level.

abc: 3.624 3.624 7.688
angles: 90.00 90.00 90.00
Positions (direct):
Y 0.000 0.000 0.000
Ho 0.000 0.000 0.540
Tl 0.500 0.500 0.270
Au 0.500 0.500 0.761

Values from the calculation:
- Crystal system: tetragonal
- Spin magnetization: 0.000 Bohr magnetons per cell
- E above lowest polymorph: 0.0 meV per atom
- E_tot: -19.15 eV for the cell shown

=====

No. 12
Below is HoTlZnAu after structural relaxation, with properties calculated at the GGA-PBE level.

abc: 4.961 4.961 4.961
angles: 60.00 60.00 60.00
Positions (direct):
Ho 0.000 0.000 0.000
Tl 0.500 0.500 0.500
Zn 0.250 0.250 0.250
Au 0.750 0.750 0.750

Values from the calculation:
- Crystal system: cubic
- Spin magnetization: 0.000 Bohr magnetons per cell
- E_tot: -12.96 eV for the cell shown

=====

No. 13
Below is HoZrTlAu after structural relaxation, with properties calculated at the GGA-PBE level.

abc: 5.090 5.090 5.090
angles: 60.00 60.00 60.00
Positions (direct):
Ho 0.000 0.000 0.000
Zr 0.500 0.500 0.500
Tl 0.750 0.750 0.750
Au 0.250 0.250 0.250

Values from the calculation:
- Crystal system: cubic
- Spin magnetization: 1.004 Bohr magnetons per cell
- E_tot: -20.11 eV for the cell shown

=====

No. 14
Below is HoTmAu5 after structural relaxation, with properties calculated at the GGA-PBE level.

abc: 5.272 5.272 11.153
angles: 100.74 100.74 100.67
Positions (direct):
Ho 0.000 0.500 0.000
Ho 0.500 0.000 0.500
Tm 0.187 0.813 0.750
Tm 0.813 0.187 0.250
Au 0.065 0.280 0.542
Au 0.178 0.822 0.250
Au 0.280 0.065 0.042
Au 0.391 0.403 0.353
Au 0.403 0.391 0.853
Au 0.597 0.609 0.147
Au 0.609 0.597 0.647
Au 0.720 0.935 0.958
Au 0.822 0.178 0.750
Au 0.935 0.720 0.458

Values from the calculation:
- Crystal system: monoclinic
- Spin magnetization: 0.000 Bohr magnetons per cell
- E_tot: -60.28 eV for the cell shown

=====

No. 15
Below is HoTm5Au6 after structural relaxation, with properties calculated at the GGA-PBE level.

abc: 8.724 8.724 5.022
angles: 106.67 106.67 120.14
Positions (direct):
Ho 0.000 0.000 0.000
Tm 0.166 0.834 0.500
Tm 0.333 0.667 0.000
Tm 0.500 0.500 0.500
Tm 0.667 0.333 0.000
Tm 0.834 0.166 0.500
Au 0.084 0.420 0.252
Au 0.253 0.253 0.753
Au 0.420 0.084 0.252
Au 0.580 0.916 0.748
Au 0.747 0.747 0.247
Au 0.916 0.580 0.748

Values from the calculation:
- Crystal system: monoclinic
- Spin magnetization: 0.000 Bohr magnetons per cell
- E_tot: -57.27 eV for the cell shown

=====

No. 16
Below is HoTm2Au2 after structural relaxation, with properties calculated at the GGA-PBE level.

abc: 8.085 8.085 3.759
angles: 90.00 90.00 90.00
Positions (direct):
Ho 0.000 0.000 0.000
Ho 0.500 0.500 0.000
Tm 0.161 0.339 0.500
Tm 0.339 0.839 0.500
Tm 0.661 0.161 0.500
Tm 0.839 0.661 0.500
Au 0.135 0.635 0.000
Au 0.365 0.135 0.000
Au 0.635 0.865 0.000
Au 0.865 0.365 0.000

Values from the calculation:
- Crystal system: tetragonal
- Spin magnetization: 0.000 Bohr magnetons per cell
- E_tot: -47.35 eV for the cell shown

=====

No. 17
Below is HoTmAu4 after structural relaxation, with properties calculated at the GGA-PBE level.

abc: 5.227 5.227 5.252
angles: 90.00 90.00 119.52
Positions (direct):
Ho 0.000 0.000 0.000
Tm 0.500 0.500 0.500
Au 0.165 0.835 0.500
Au 0.336 0.664 0.000
Au 0.664 0.336 0.000
Au 0.835 0.165 0.500

Values from the calculation:
- Crystal system: orthorhombic
- Spin magnetization: 0.000 Bohr magnetons per cell
- E above lowest polymorph: 2.5 meV per atom
- E_tot: -27.42 eV for the cell shown

=====

No. 18
Below is HoTm3Au2 after structural relaxation, with properties calculated at the GGA-PBE level.

abc: 8.502 8.502 8.502
angles: 131.72 72.12 129.91
Positions (direct):
Ho 0.000 0.000 0.000
Ho 0.500 0.500 0.000
Tm 0.017 0.250 0.767
Tm 0.250 0.750 0.500
Tm 0.483 0.250 0.233
Tm 0.517 0.750 0.767
Tm 0.750 0.250 0.500
Tm 0.983 0.750 0.233
Au 0.142 0.705 0.847
Au 0.358 0.205 0.563
Au 0.642 0.795 0.437
Au 0.858 0.295 0.153

Values from the calculation:
- Crystal system: orthorhombic
- Spin magnetization: 0.000 Bohr magnetons per cell
- E above lowest polymorph: 186.7 meV per atom
- E_tot: -54.80 eV for the cell shown

=====

No. 19
Below is HoTmAu4 after structural relaxation, with properties calculated at the GGA-PBE level.

abc: 3.719 3.719 9.032
angles: 90.00 90.00 90.00
Positions (direct):
Ho 0.000 0.000 0.000
Tm 0.500 0.500 0.500
Au 0.000 0.000 0.337
Au 0.000 0.000 0.663
Au 0.500 0.500 0.166
Au 0.500 0.500 0.834

Values from the calculation:
- Crystal system: tetragonal
- Spin magnetization: 0.000 Bohr magnetons per cell
- E above lowest polymorph: 0.0 meV per atom
- E_tot: -27.44 eV for the cell shown

=====

No. 20
Below is HoTmAu after structural relaxation, with properties calculated at the GGA-PBE level.

abc: 4.927 4.927 4.927
angles: 60.00 60.00 60.00
Positions (direct):
Ho 0.000 0.000 0.000
Tm 0.500 0.500 0.500
Au 0.750 0.750 0.750

Values from the calculation:
- Crystal system: cubic
- Spin magnetization: 0.000 Bohr magnetons per cell
- E above lowest polymorph: 187.6 meV per atom
- E_tot: -13.74 eV for the cell shown